# PmPuCo4

Crystalline PmPuCo4 at its relaxed geometry (PBE-GGA, the Alexandria database).

Unit cell a=5.0876 b=5.0876 c=5.0876 alpha=60.00 beta=60.00 gamma=60.00
Last column: nearest neighbours and their distance in Å.
Sites, in units of the cell vectors:
Pm 0.2500 0.2500 0.2500  12 Co 2.99, 4 Pu 3.12
Co 0.6260 0.6260 0.1219  6 Co 2.52-2.56
Co 0.6260 0.1219 0.6260  6 Co 2.52-2.56
Co 0.6260 0.6260 0.6260  6 Co 2.52-2.56
Co 0.1219 0.6260 0.6260  6 Co 2.52-2.56
Pu 0.0000 0.0000 0.0000  12 Co 2.98, 4 Pm 3.12

Output
Space-group type: F-43m (216)
E_form in meV per atom: -102.2



# PmPuCoRh

Crystalline PmPuCoRh at its relaxed geometry (PBE-GGA, the Alexandria database).

Unit cell a=4.8533 b=4.8533 c=4.8533 alpha=60.00 beta=60.00 gamma=60.00
Last column: nearest neighbours and their distance in Å.
Sites, in units of the cell vectors:
Co 0.5000 0.5000 0.5000  4 Pu 2.97, 4 Pm 2.97
Pm 0.2500 0.2500 0.2500  4 Rh 2.97, 4 Co 2.97
Rh 0.0000 0.0000 0.0000  4 Pm 2.97, 4 Pu 2.97
Pu 0.7500 0.7500 0.7500  4 Co 2.97, 4 Rh 2.97

Output
Space-group type: F-43m (216)
E_form in meV per atom: -221.1



Question: E_form of number 2 (PmPuCoRh)?
Answer: -221.1 meV per atom



Question: Among the records above, which one has the highest E_form?
Answer: PmPuCo4



Question: What is the formula in the first record?
Answer: PmPuCo4